Entry 1:
# AcGa2Hg

A relaxed structure of AcGa2Hg (PBE, Alexandria via LeMat-Bulk).

Unit cell a=4.5005 b=6.2531 c=7.8153 alpha=90.00 beta=90.00 gamma=90.00
Closest atoms and distances in Å follow each position.
Space group Amm2 (No. 38)
Symmetry-distinct sites (fractional):
Ac (0.0000, 0.0000, 0.0000)  4 Ga 3.14-3.25, 2 Hg 3.34
Ga (0.0000, 0.0000, 0.4601)  2 Ga 2.58, 2 Hg 2.85
Ga (0.5000, 0.0000, 0.2999)  2 Ga 2.58
Hg (0.5000, 0.0000, 0.6843)  3 Ga 2.85-3.00

## Properties
Formation energy from the elements in eV per atom: -0.274
Total magnetic moment in μB/atom: 0.000
Relative energy among the computed polymorphs in meV per atom: 204

***

Entry 2:
# Ac2Ga3Hg4

A relaxed structure of Ac2Ga3Hg4 (PBE, Alexandria via LeMat-Bulk).

Unit cell a=6.4539 b=16.5388 c=8.6477 alpha=90.00 beta=90.00 gamma=90.00
Closest atoms and distances in Å follow each position.
Space group Cmce (No. 64)
Symmetry-distinct sites (fractional):
Ac (0.0000, 0.1178, 0.0880)  8 Hg 3.42-3.53, 4 Ga 3.43-3.74
Ga (0.0000, 0.0000, 0.5000)  6 Hg 2.83-2.97
Ga (0.2500, 0.2199, 0.7500)  5 Hg 2.78-3.02
Hg (0.0000, 0.1790, 0.4722)  5 Ga 2.97-3.02
Hg (0.2500, 0.0518, 0.7500)  3 Ga 2.78-2.83

## Properties
Formation energy from the elements in eV per atom: -0.328
Total magnetic moment in μB/atom: 0.000

***

Entry 3:
# Ac3Ga2Hg9

A relaxed structure of Ac3Ga2Hg9 (PBE, Alexandria via LeMat-Bulk).

Unit cell a=5.0619 b=10.4070 c=14.1716 alpha=90.00 beta=90.00 gamma=90.00
Closest atoms and distances in Å follow each position.
Space group Immm (No. 71)
Symmetry-distinct sites (fractional):
Ac (0.0000, 0.0000, 0.0000)  12 Hg 3.57-3.60
Ac (0.0000, 0.0000, 0.3026)  2 Ga 3.38, 12 Hg 3.47-3.77
Ga (0.0000, 0.1829, 0.5000)  2 Hg 2.80
Hg (0.0000, 0.2831, 0.1455)  4 Hg 2.95-3.06, 2 Ga 3.28
Hg (0.0000, 0.3628, 0.3536)  1 Ga 2.80, 4 Hg 2.86-3.06
Hg (0.0000, 0.5000, 0.0000)  4 Hg 3.06, 4 Ga 3.17

## Properties
Formation energy from the elements in eV per atom: -0.331
Total magnetic moment in μB/atom: 0.000